(1)
The following is a DFT calculation (GGA-PBE) of an optimized crystal structure of LaU2Tc3.

Values from the calculation:
Its space group is P6/mmm (191). As for the calculated density: 11.78 g/cm³. The formation energy is -0.123 eV per atom.

Lattice parameters (Å, degrees): 6.0751 6.0751 4.0089 90.00 90.00 120.00
Last column: nearest neighbours and their distance in Å.
Fractional positions:
La  0.0000  0.0000  0.0000  6 U 3.51, 12 Tc 3.64
U  0.3333  0.6667  0.0000  6 Tc 2.66
U  0.6667  0.3333  0.0000  6 Tc 2.66
Tc  0.0000  0.5000  0.5000  4 U 2.66
Tc  0.5000  0.0000  0.5000  4 U 2.66
Tc  0.5000  0.5000  0.5000  4 U 2.66

(2)
The following is a DFT calculation (GGA-PBE) of an optimized crystal structure of LaUTc.

Values from the calculation:
Its space group is Cmcm (63). As for the calculated density: 10.27 g/cm³. The value obtained for the distance to the lowest polymorph of the same formula is 0.11 eV/f.u. The formation energy is 0.110 eV per atom.

Lattice parameters (Å, degrees): 11.3943 11.3943 3.5864 90.00 90.00 160.74
Last column: nearest neighbours and their distance in Å.
Fractional positions:
La  0.1855  0.8145  0.7500  2 U 3.26, 2 Tc 3.49, 2 La 3.59
La  0.8145  0.1855  0.2500  2 U 3.26, 2 Tc 3.49, 2 La 3.59
U  0.4323  0.5677  0.2500  4 Tc 2.64
U  0.5677  0.4323  0.7500  4 Tc 2.64
Tc  0.0522  0.9478  0.2500  4 U 2.64, 2 Tc 2.95
Tc  0.9478  0.0522  0.7500  4 U 2.64, 2 Tc 2.95

(3)
The following is a DFT calculation (GGA-PBE) of an optimized crystal structure of LaUTc.

Values from the calculation:
Its space group is I4mm (107). As for the calculated density: 11.23 g/cm³. The value obtained for the distance to the lowest polymorph of the same formula is 0.00 eV/f.u. The formation energy is 0.074 eV per atom.

Lattice parameters (Å, degrees): 6.2824 6.2824 6.2824 147.78 147.78 46.21
Last column: nearest neighbours and their distance in Å.
Fractional positions:
La  0.0000  0.0000  0.0000  5 Tc 3.33-3.47, 5 U 3.34-3.52, 4 La 3.49
U  0.6955  0.6955  0.0000  4 Tc 2.69
Tc  0.2886  0.2886  0.0000  4 U 2.69

(4)
The following is a DFT calculation (GGA-PBE) of an optimized crystal structure of La2VTc2.

Values from the calculation:
Its space group is P4/mbm (127). As for the calculated density: 8.02 g/cm³. The formation energy is 0.229 eV per atom.

Lattice parameters (Å, degrees): 6.5019 6.5019 5.1376 90.00 90.00 90.00
Last column: nearest neighbours and their distance in Å.
Fractional positions:
La  0.1786  0.3214  0.0000  6 Tc 3.08-3.30, 5 La 3.28-3.38
La  0.3214  0.8214  0.0000  6 Tc 3.08-3.30, 5 La 3.28-3.38
La  0.6786  0.1786  0.0000  6 Tc 3.08-3.30, 5 La 3.28-3.38
La  0.8214  0.6786  0.0000  6 Tc 3.08-3.30, 5 La 3.28-3.38
V  0.0000  0.0000  0.5000  4 Tc 2.52
V  0.5000  0.5000  0.5000  4 Tc 2.52
Tc  0.1367  0.6367  0.5000  1 Tc 2.51, 2 V 2.52
Tc  0.3633  0.1367  0.5000  1 Tc 2.51, 2 V 2.52
Tc  0.6367  0.8633  0.5000  1 Tc 2.51, 2 V 2.52
Tc  0.8633  0.3633  0.5000  1 Tc 2.51, 2 V 2.52

(5)
The following is a DFT calculation (GGA-PBE) of an optimized crystal structure of La2VTc.

Values from the calculation:
Its space group is I-42d (122). As for the calculated density: 7.00 g/cm³. The value obtained for the distance to the lowest polymorph of the same formula is 1.12 eV/f.u. The formation energy is 0.703 eV per atom.

Lattice parameters (Å, degrees): 6.4927 6.4927 6.4927 103.41 103.41 122.43
Last column: nearest neighbours and their distance in Å.
Fractional positions:
La  0.0804  0.6250  0.9554  2 Tc 2.72
La  0.3750  0.3304  0.4554  2 Tc 2.72
La  0.6696  0.1250  0.0446  2 Tc 2.72
La  0.8750  0.9196  0.5446  2 Tc 2.72
V  0.2500  0.7500  0.5000  2 Tc 3.13, 4 La 3.21
V  0.5000  0.5000  0.0000  2 Tc 3.13, 4 La 3.21
Tc  0.0000  0.0000  0.0000  4 La 2.72
Tc  0.7500  0.2500  0.5000  4 La 2.72

(6)
The following is a DFT calculation (GGA-PBE) of an optimized crystal structure of LaVTc3.

Values from the calculation:
Its space group is Pm-3m (221). As for the calculated density: 7.63 g/cm³. The value obtained for the distance to the lowest polymorph of the same formula is 7.69 eV/f.u. The formation energy is 2.158 eV per atom.

Lattice parameters (Å, degrees): 4.7219 4.7219 4.7219 90.00 90.00 90.00
Last column: nearest neighbours and their distance in Å.
Fractional positions:
La  0.0000  0.0000  0.0000  6 Tc 2.36
V  0.5000  0.5000  0.5000  12 Tc 3.34
Tc  0.0000  0.0000  0.5000  2 La 2.36
Tc  0.0000  0.5000  0.0000  2 La 2.36
Tc  0.5000  0.0000  0.0000  2 La 2.36

(7)
The following is a DFT calculation (GGA-PBE) of an optimized crystal structure of LaVTc3.

Values from the calculation:
Its space group is Pm-3m (221). As for the calculated density: 8.11 g/cm³. The value obtained for the distance to the lowest polymorph of the same formula is 0.00 eV/f.u. The formation energy is 0.619 eV per atom.

Lattice parameters (Å, degrees): 4.6272 4.6272 4.6272 90.00 90.00 90.00
Last column: nearest neighbours and their distance in Å.
Fractional positions:
La  0.0000  0.0000  0.0000  12 Tc 3.27
V  0.5000  0.5000  0.5000  6 Tc 2.31
Tc  0.0000  0.5000  0.5000  2 V 2.31
Tc  0.5000  0.0000  0.5000  2 V 2.31
Tc  0.5000  0.5000  0.0000  2 V 2.31

(8)
The following is a DFT calculation (GGA-PBE) of an optimized crystal structure of La3VTc.

Values from the calculation:
Its space group is Pm-3m (221). As for the calculated density: 5.77 g/cm³. The value obtained for the distance to the lowest polymorph of the same formula is 0.00 eV/f.u. The formation energy is 0.439 eV per atom.

Lattice parameters (Å, degrees): 5.4614 5.4614 5.4614 90.00 90.00 90.00
Last column: nearest neighbours and their distance in Å.
Fractional positions:
La  0.0000  0.0000  0.5000  2 Tc 2.73
La  0.0000  0.5000  0.0000  2 Tc 2.73
La  0.5000  0.0000  0.0000  2 Tc 2.73
V  0.5000  0.5000  0.5000  12 La 3.86
Tc  0.0000  0.0000  0.0000  6 La 2.73

(9)
The following is a DFT calculation (GGA-PBE) of an optimized crystal structure of La2VTc.

Values from the calculation:
Its space group is Fm-3m (225). As for the calculated density: 7.39 g/cm³. The value obtained for the distance to the lowest polymorph of the same formula is 0.00 eV/f.u. The formation energy is 0.422 eV per atom.

Lattice parameters (Å, degrees): 5.1377 5.1377 5.1377 60.00 60.00 60.00
Last column: nearest neighbours and their distance in Å.
Fractional positions:
La  0.2500  0.2500  0.2500  4 Tc 3.15, 4 V 3.15
La  0.7500  0.7500  0.7500  4 Tc 3.15, 4 V 3.15
V  0.0000  0.0000  0.0000  8 La 3.15
Tc  0.5000  0.5000  0.5000  8 La 3.15

(10)
The following is a DFT calculation (GGA-PBE) of an optimized crystal structure of LaV2Tc2.

Values from the calculation:
Its space group is I4/mmm (139). As for the calculated density: 7.65 g/cm³. The formation energy is 0.007 eV per atom.

Lattice parameters (Å, degrees): 6.3115 6.3115 6.3115 141.97 141.97 54.88
Last column: nearest neighbours and their distance in Å.
Fractional positions:
La  0.0000  0.0000  0.0000  8 Tc 3.23, 8 V 3.47
V  0.2500  0.7500  0.5000  4 Tc 2.49
V  0.7500  0.2500  0.5000  4 Tc 2.49
Tc  0.3746  0.3746  0.0000  4 V 2.49
Tc  0.6254  0.6254  0.0000  4 V 2.49

(11)
The following is a DFT calculation (GGA-PBE) of an optimized crystal structure of LaTc2W.

Values from the calculation:
Its space group is F-43m (216). As for the calculated density: 12.10 g/cm³. The formation energy is 0.521 eV per atom.

Lattice parameters (Å, degrees): 4.6524 4.6524 4.6524 60.00 60.00 60.00
Last column: nearest neighbours and their distance in Å.
Fractional positions:
La  0.0000  0.0000  0.0000  4 W 2.85, 4 Tc 2.85
Tc  0.2500  0.2500  0.2500  4 La 2.85, 4 Tc 2.85
Tc  0.5000  0.5000  0.5000  4 W 2.85, 4 Tc 2.85
W  0.7500  0.7500  0.7500  4 La 2.85, 4 Tc 2.85

(12)
The following is a DFT calculation (GGA-PBE) of an optimized crystal structure of LaTcW2.

Values from the calculation:
Its space group is F-43m (216). As for the calculated density: 13.69 g/cm³. The value obtained for the distance to the lowest polymorph of the same formula is 0.70 eV/f.u. The formation energy is 0.558 eV per atom.

Lattice parameters (Å, degrees): 4.6987 4.6987 4.6987 60.00 60.00 60.00
Last column: nearest neighbours and their distance in Å.
Fractional positions:
La  0.0000  0.0000  0.0000  4 W 2.88, 4 Tc 2.88
Tc  0.2500  0.2500  0.2500  4 La 2.88, 4 W 2.88
W  0.5000  0.5000  0.5000  4 W 2.88, 4 Tc 2.88
W  0.7500  0.7500  0.7500  4 La 2.88, 4 W 2.88